1.
DFT (PBE-GGA) results for a relaxed structure of TbErIn2.

Cell lengths 5.3078, 5.3074, 5.3073 Å; angles 60.00, 60.00, 60.00 degrees
Last column: nearest neighbours and their distance in Å.
Fractional coordinates of all 4 atoms:
In1 0.0000 0.0000 0.0000  4 Er 3.25, 4 Tb 3.25
In2 0.5000 0.5000 0.5000  4 Er 3.25, 4 Tb 3.25
Tb1 0.7500 0.7500 0.7500  8 In 3.25
Er1 0.2500 0.2500 0.2500  8 In 3.25

Uncorrected energy = -16.5 eV/cell


2.
DFT (PBE-GGA) results for a relaxed structure of TbEr8In6.

Cell lengths 8.9722, 8.9722, 8.2752 Å; angles 57.17, 57.17, 60.00 degrees
Last column: nearest neighbours and their distance in Å.
Fractional coordinates of all 15 atoms:
Tb1 0.0000 0.0000 0.0000  6 In 3.22
Er1 0.5539 0.2205 0.3387  5 In 3.10-3.35
Er2 0.7795 0.1131 0.6613  5 In 3.10-3.35
Er3 0.1131 0.4461 0.6613  5 In 3.10-3.35
Er4 0.6669 0.6669 0.9993  6 In 3.20
Er5 0.3331 0.3331 0.0007  6 In 3.20
Er6 0.8869 0.5539 0.3387  5 In 3.10-3.35
Er7 0.2205 0.8869 0.3387  5 In 3.10-3.35
Er8 0.4461 0.7795 0.6613  5 In 3.10-3.35
In1 0.3952 0.0602 0.8196  7 Er 3.10-3.35, 1 Tb 3.22
In2 0.9398 0.2750 0.1804  7 Er 3.10-3.35, 1 Tb 3.22
In3 0.2750 0.6048 0.1804  7 Er 3.10-3.35, 1 Tb 3.22
In4 0.7250 0.3952 0.8196  7 Er 3.10-3.35, 1 Tb 3.22
In5 0.0602 0.7250 0.8196  7 Er 3.10-3.35, 1 Tb 3.22
In6 0.6048 0.9398 0.1804  7 Er 3.10-3.35, 1 Tb 3.22

Uncorrected energy = -60.5 eV/cell


3.
DFT (PBE-GGA) results for a relaxed structure of Tb3Er2In7.

Cell lengths 4.6953, 4.8233, 15.2238 Å; angles 99.11, 90.00, 90.00 degrees
Last column: nearest neighbours and their distance in Å.
Fractional coordinates of all 12 atoms:
Tb1 0.5000 0.5000 0.0000  12 In 3.30-3.37
Tb2 0.5000 0.6476 0.2953  6 In 3.16-3.32, 4 Er 3.38
Tb3 0.5000 0.3524 0.7047  6 In 3.16-3.32, 4 Er 3.38
Er1 0.0000 0.8417 0.6834  7 In 3.15-3.49, 4 Tb 3.38
Er2 0.0000 0.1583 0.3166  7 In 3.15-3.49, 4 Tb 3.38
In1 0.0000 0.4229 0.8457  4 Tb 3.16-3.30, 6 In 3.35-3.37, 2 Er 3.43
In2 0.0000 0.7256 0.4511  2 In 2.82, 2 Er 3.15
In3 0.0000 0.0000 0.0000  8 In 3.32-3.35, 4 Tb 3.37
In4 0.0000 0.5771 0.1543  4 Tb 3.16-3.30, 6 In 3.35-3.37, 2 Er 3.43
In5 0.5000 0.0782 0.1563  4 Tb 3.19-3.37, 6 In 3.32-3.37, 2 Er 3.36
In6 0.5000 0.9218 0.8437  4 Tb 3.19-3.37, 6 In 3.32-3.37, 2 Er 3.36
In7 0.0000 0.2744 0.5489  2 In 2.82, 2 Er 3.15

Uncorrected energy = -44.9 eV/cell


4.
DFT (PBE-GGA) results for a relaxed structure of TbEr12In6.

Cell lengths 8.7939, 8.7939, 8.7939 Å; angles 103.71, 103.71, 103.71 degrees
Last column: nearest neighbours and their distance in Å.
Fractional coordinates of all 19 atoms:
Tb1 0.0000 0.0000 0.0000  6 In 4.40, 18 Er 4.46-4.72
Er1 0.8756 0.1244 0.5000  4 In 2.97-3.08
Er2 0.8213 0.5562 0.5562  3 In 3.15-3.19
Er3 0.5562 0.5562 0.8213  3 In 3.15-3.19
Er4 0.4438 0.1787 0.4438  3 In 3.15-3.19
Er5 0.4438 0.4438 0.1787  3 In 3.15-3.19
Er6 0.1787 0.4438 0.4438  3 In 3.15-3.19
Er7 0.1244 0.5000 0.8756  4 In 2.97-3.08
Er8 0.5000 0.8756 0.1244  4 In 2.97-3.08
Er9 0.1244 0.8756 0.5000  4 In 2.97-3.08
Er10 0.8756 0.5000 0.1244  4 In 2.97-3.08
Er11 0.5000 0.1244 0.8756  4 In 2.97-3.08
Er12 0.5562 0.8213 0.5562  3 In 3.15-3.19
In1 0.6986 0.2435 0.2435  7 Er 2.97-3.19
In2 0.2435 0.2435 0.6986  7 Er 2.97-3.19
In3 0.2435 0.6986 0.2435  7 Er 2.97-3.19
In4 0.7565 0.7565 0.3014  7 Er 2.97-3.19
In5 0.3014 0.7565 0.7565  7 Er 2.97-3.19
In6 0.7565 0.3014 0.7565  7 Er 2.97-3.19

Uncorrected energy = -76.2 eV/cell


5.
DFT (PBE-GGA) results for a relaxed structure of Tb2Er5In3.

Cell lengths 6.5481, 10.3235, 10.3235 Å; angles 93.66, 71.51, 71.51 degrees
Last column: nearest neighbours and their distance in Å.
Fractional coordinates of all 20 atoms:
Tb1 0.1486 0.5514 0.1514  4 In 3.37-3.65, 4 Er 3.49-3.69
Tb2 0.6486 0.1514 0.5514  4 In 3.37-3.65, 4 Er 3.49-3.69
Tb3 0.8514 0.4486 0.8486  4 In 3.37-3.65, 4 Er 3.49-3.69
Tb4 0.3514 0.8486 0.4486  4 In 3.37-3.65, 4 Er 3.49-3.69
Er1 0.4232 0.2369 0.9167  3 In 2.99-3.07
Er2 0.9232 0.9167 0.2369  3 In 2.99-3.07
Er3 0.5768 0.7631 0.0833  3 In 2.99-3.07
Er4 0.0768 0.0833 0.7631  3 In 2.99-3.07
Er5 0.4916 0.7584 0.7584  3 In 3.02-3.16, 3 Er 3.23-3.27
Er6 0.5084 0.2416 0.2416  3 In 3.02-3.16, 3 Er 3.23-3.27
Er7 0.7500 0.5000 0.5000  4 Er 3.23-3.27, 4 In 3.25
Er8 0.2500 0.5000 0.5000  4 Er 3.23-3.27, 4 In 3.25
Er9 0.0084 0.2416 0.2416  3 In 3.02-3.16, 3 Er 3.23-3.27
Er10 0.9916 0.7584 0.7584  3 In 3.02-3.16, 3 Er 3.23-3.27
In1 0.3634 0.4887 0.7844  5 Er 2.99-3.25
In2 0.8634 0.7844 0.4887  5 Er 2.99-3.25
In3 0.6366 0.5113 0.2156  5 Er 2.99-3.25
In4 0.1366 0.2156 0.5113  5 Er 2.99-3.25
In5 0.2500 0.0000 0.0000  6 Er 3.02-3.07, 2 In 3.27
In6 0.7500 0.0000 0.0000  6 Er 3.02-3.07, 2 In 3.27

Uncorrected energy = -81.6 eV/cell


6.
DFT (PBE-GGA) results for a relaxed structure of Tb3ErIn.

Cell lengths 4.8236, 4.8248, 12.7517 Å; angles 90.00, 79.10, 90.00 degrees
Last column: nearest neighbours and their distance in Å.
Fractional coordinates of all 10 atoms:
Tb1 0.7716 0.2500 0.1051  8 Tb 3.41-3.57, 2 Er 3.43, 2 In 3.48
Tb2 0.3748 0.2500 0.8987  8 Tb 3.41-3.53, 2 Er 3.47, 2 In 3.51
Tb3 0.5738 0.2500 0.5007  4 Tb 3.41, 4 In 3.42-3.44, 4 Er 3.47-3.48
Tb4 0.2735 0.7500 0.1013  8 Tb 3.41-3.53, 2 Er 3.47, 2 In 3.51
Tb5 0.8767 0.7500 0.8949  8 Tb 3.41-3.57, 2 Er 3.43, 2 In 3.48
Tb6 0.0745 0.7500 0.4993  4 Tb 3.41, 4 In 3.42-3.44, 4 Er 3.47-3.48
Er1 0.4743 0.7500 0.6997  4 In 3.41, 8 Tb 3.43-3.48
Er2 0.1740 0.2500 0.3003  4 In 3.41, 8 Tb 3.43-3.48
In1 0.6716 0.7500 0.3053  4 Er 3.41, 8 Tb 3.42-3.51
In2 0.9768 0.2500 0.6947  4 Er 3.41, 8 Tb 3.42-3.51

Excess energy over the best structure of this formula in the dataset = 0.0 meV/atom


7.
DFT (PBE-GGA) results for a relaxed structure of Tb3ErIn.

Cell lengths 5.8797, 8.7960, 6.8133 Å; angles 90.00, 115.56, 90.00 degrees
Last column: nearest neighbours and their distance in Å.
Fractional coordinates of all 10 atoms:
Tb1 0.1751 0.9315 0.3502  3 Tb 3.12-3.34, 3 In 3.33-3.35, 1 Er 3.49
Tb2 0.8249 0.0685 0.6498  3 Tb 3.12-3.34, 3 In 3.33-3.35, 1 Er 3.49
Tb3 0.8249 0.4315 0.6498  3 Tb 3.12-3.34, 3 In 3.33-3.35, 1 Er 3.49
Tb4 0.1751 0.5685 0.3502  3 Tb 3.12-3.34, 3 In 3.33-3.35, 1 Er 3.49
Tb5 0.0638 0.2500 0.1276  2 Er 2.94, 2 Tb 3.12, 1 In 3.17
Tb6 0.9362 0.7500 0.8724  2 Er 2.94, 2 Tb 3.12, 1 In 3.17
Er1 0.5725 0.2500 0.1450  2 Tb 2.94, 1 In 3.08
Er2 0.4275 0.7500 0.8550  2 Tb 2.94, 1 In 3.08
In1 0.3216 0.2500 0.6433  1 Er 3.08, 7 Tb 3.17-3.35
In2 0.6784 0.7500 0.3567  1 Er 3.08, 7 Tb 3.17-3.35

Excess energy over the best structure of this formula in the dataset = 466.4 meV/atom


8.
DFT (PBE-GGA) results for a relaxed structure of Tb5Er2In4.

Cell lengths 3.4485, 8.5668, 15.0571 Å; angles 106.53, 96.58, 90.00 degrees
Last column: nearest neighbours and their distance in Å.
Fractional coordinates of all 11 atoms:
Tb1 0.2014 0.3980 0.4028  3 In 3.12-3.35, 5 Tb 3.37-3.45, 1 Er 3.46
Tb2 0.7986 0.6020 0.5972  3 In 3.12-3.35, 5 Tb 3.37-3.45, 1 Er 3.46
Tb3 0.2014 0.0048 0.4028  3 In 3.12-3.35, 5 Tb 3.37-3.45, 1 Er 3.46
Tb4 0.5000 0.0000 0.0000  4 Er 3.25, 4 In 3.25, 2 Tb 3.45
Tb5 0.7986 0.9952 0.5972  3 In 3.12-3.35, 5 Tb 3.37-3.45, 1 Er 3.46
Er1 0.0960 0.0960 0.1920  4 Tb 3.25-3.46, 2 Er 3.45
Er2 0.9040 0.9040 0.8080  4 Tb 3.25-3.46, 2 Er 3.45
In1 0.6977 0.6977 0.3953  6 Tb 3.12-3.35, 2 In 3.45
In2 0.0000 0.3215 0.0000  1 In 3.06, 2 Tb 3.25
In3 0.3023 0.3023 0.6047  6 Tb 3.12-3.35, 2 In 3.45
In4 0.0000 0.6785 0.0000  1 In 3.06, 2 Tb 3.25

Excess energy over the best structure of this formula in the dataset = 565.6 meV/atom


9.
DFT (PBE-GGA) results for a relaxed structure of Tb4Er3In4.

Cell lengths 3.6040, 9.3850, 10.7000 Å; angles 116.01, 99.70, 90.00 degrees
Last column: nearest neighbours and their distance in Å.
Fractional coordinates of all 11 atoms:
Tb1 0.3384 0.1543 0.6767  4 In 3.19-3.24, 1 Tb 3.45
Tb2 0.6616 0.4776 0.3233  4 In 3.19-3.24, 1 Tb 3.45
Tb3 0.6616 0.8457 0.3233  4 In 3.19-3.24, 1 Tb 3.45
Tb4 0.3384 0.5224 0.6767  4 In 3.19-3.24, 1 Tb 3.45
Er1 0.0958 0.0958 0.1916  6 In 3.10-3.27
Er2 0.9042 0.9042 0.8084  6 In 3.10-3.27
Er3 0.0000 0.5000 0.0000  4 In 3.20
In1 0.2708 0.7708 0.5415  2 Er 3.10, 6 Tb 3.23-3.24
In2 0.7292 0.2292 0.4585  2 Er 3.10, 6 Tb 3.23-3.24
In3 0.5000 0.7817 0.0000  2 Tb 3.19, 6 Er 3.20-3.27
In4 0.5000 0.2183 0.0000  2 Tb 3.19, 6 Er 3.20-3.27

Uncorrected energy = -46.4 eV/cell


10.
DFT (PBE-GGA) results for a relaxed structure of Tb6ErIn2.

Cell lengths 4.7683, 5.9927, 10.4110 Å; angles 73.83, 76.76, 66.56 degrees
Last column: nearest neighbours and their distance in Å.
Fractional coordinates of all 9 atoms:
Tb1 0.6710 0.5483 0.1097  5 Tb 3.38-3.52, 4 In 3.42-3.45, 3 Er 3.42-3.45
Tb2 0.3290 0.4517 0.8903  5 Tb 3.38-3.52, 4 In 3.42-3.45, 3 Er 3.42-3.45
Tb3 0.3288 0.7886 0.5539  9 Tb 3.35-3.57, 3 In 3.47-3.50
Tb4 0.0073 0.6592 0.3262  8 Tb 3.38-3.59, 3 In 3.43-3.47, 1 Er 3.44
Tb5 0.9927 0.3408 0.6738  8 Tb 3.38-3.59, 3 In 3.43-3.47, 1 Er 3.44
Tb6 0.6712 0.2114 0.4461  9 Tb 3.35-3.57, 3 In 3.47-3.50
Er1 0.0000 0.0000 0.0000  4 In 3.36, 8 Tb 3.42-3.45
In1 0.3404 0.1031 0.2160  2 Er 3.36, 10 Tb 3.42-3.50
In2 0.6596 0.8969 0.7840  2 Er 3.36, 10 Tb 3.42-3.50

Excess energy over the best structure of this formula in the dataset = 0.0 meV/atom


11.
DFT (PBE-GGA) results for a relaxed structure of Tb2ErIn5.

Cell lengths 6.5087, 6.5087, 6.5087 Å; angles 100.29, 114.25, 114.25 degrees
Last column: nearest neighbours and their distance in Å.
Fractional coordinates of all 8 atoms:
Tb1 0.5000 0.2335 0.7335  10 In 3.22-3.54, 2 Er 3.60
Tb2 0.5000 0.7335 0.2335  10 In 3.22-3.54, 2 Er 3.60
Er1 0.0000 0.1503 0.1503  9 In 3.19-3.47
In1 0.4340 0.6915 0.6915  4 In 3.07-3.33, 1 Er 3.19, 4 Tb 3.22-3.32
In2 0.0000 0.2575 0.6915  4 In 3.07-3.33, 1 Er 3.19, 4 Tb 3.22-3.32
In3 0.0000 0.6915 0.2575  4 In 3.07-3.33, 1 Er 3.19, 4 Tb 3.22-3.32
In4 0.5660 0.2575 0.2575  4 In 3.07-3.33, 1 Er 3.19, 4 Tb 3.22-3.32
In5 0.0000 0.7626 0.7626  1 Er 3.23, 8 In 3.24-3.33, 4 Tb 3.54

Uncorrected energy = -30.9 eV/cell


12.
DFT (PBE-GGA) results for a relaxed structure of Tb4ErIn3.

Cell lengths 5.3724, 5.3724, 9.5319 Å; angles 73.63, 73.63, 60.00 degrees
Last column: nearest neighbours and their distance in Å.
Fractional coordinates of all 8 atoms:
In1 0.2615 0.2615 0.2154  7 Tb 3.15-3.47
In2 0.7385 0.7385 0.7846  7 Tb 3.15-3.47
In3 0.5000 0.5000 0.5000  8 Tb 3.13-3.26
Tb1 0.8703 0.8703 0.3891  7 In 3.26-3.57, 1 Er 3.51
Tb2 0.3842 0.3842 0.8475  5 In 3.13-3.32, 3 Er 3.39
Tb3 0.1297 0.1297 0.6109  7 In 3.26-3.57, 1 Er 3.51
Tb4 0.6158 0.6158 0.1525  5 In 3.13-3.32, 3 Er 3.39
Er1 0.0000 0.0000 0.0000  8 Tb 3.39-3.51, 6 In 3.66

Excess energy over the best structure of this formula in the dataset = 0.0 meV/atom


Copy entry 10 word for word.
DFT (PBE-GGA) results for a relaxed structure of Tb6ErIn2.

Cell lengths 4.7683, 5.9927, 10.4110 Å; angles 73.83, 76.76, 66.56 degrees
Last column: nearest neighbours and their distance in Å.
Fractional coordinates of all 9 atoms:
Tb1 0.6710 0.5483 0.1097  5 Tb 3.38-3.52, 4 In 3.42-3.45, 3 Er 3.42-3.45
Tb2 0.3290 0.4517 0.8903  5 Tb 3.38-3.52, 4 In 3.42-3.45, 3 Er 3.42-3.45
Tb3 0.3288 0.7886 0.5539  9 Tb 3.35-3.57, 3 In 3.47-3.50
Tb4 0.0073 0.6592 0.3262  8 Tb 3.38-3.59, 3 In 3.43-3.47, 1 Er 3.44
Tb5 0.9927 0.3408 0.6738  8 Tb 3.38-3.59, 3 In 3.43-3.47, 1 Er 3.44
Tb6 0.6712 0.2114 0.4461  9 Tb 3.35-3.57, 3 In 3.47-3.50
Er1 0.0000 0.0000 0.0000  4 In 3.36, 8 Tb 3.42-3.45
In1 0.3404 0.1031 0.2160  2 Er 3.36, 10 Tb 3.42-3.50
In2 0.6596 0.8969 0.7840  2 Er 3.36, 10 Tb 3.42-3.50

Excess energy over the best structure of this formula in the dataset = 0.0 meV/atom